11
Lattice="8.312 0.000 0.000 0.000 3.391 0.000 -0.738 0.000 10.677" Properties=species:S:1:pos:R:3 comment="PBE Th4Tl5Ag2, relaxed" volume_a3_per_atom=27.4 total_energy_ev_per_cell=-48.466 formation_energy_ev_per_atom=-0.114 n_ef_per_ev_cell=6.380 pbc="T T T"
Th 1.107 0.000 4.043
Th 1.524 0.000 10.073
Th 6.050 0.000 0.604
Th 6.468 0.000 6.634
Tl 1.089 1.696 7.092
Tl 3.440 1.696 2.122
Tl 3.787 1.696 5.338
Tl 4.134 1.696 8.555
Tl 6.485 1.696 3.585
Ag 0.369 1.696 1.398
Ag 7.206 1.696 9.279